Crystalline CaH2RuRh at its relaxed geometry, computed with PBEsol.

Computed properties:
Space-group type: No. 123
Raw total energy: -22.21 eV/cell

Geometry as extended XYZ:
```
5
Lattice="-1.347 -1.143 3.162 1.464 -3.266 -0.557 4.239 1.500 2.347" Properties=species:S:1:pos:R:3 pbc="T T T"
Ru 2.178 -1.454 2.476
Rh 0.000 0.000 0.000
H 0.732 -1.633 -0.278
H -0.673 -0.571 1.581
Ca 2.120 0.750 1.174
```

=====

Crystalline K3GeBr at its relaxed geometry, computed with PBEsol.

Computed properties:
Space-group type: No. 221
Formation energy from raw total energies: -0.36 eV per atom
Raw total energy: -12.00 eV/cell

Geometry as extended XYZ:
```
5
Lattice="6.069 0.000 0.000 0.000 6.069 0.000 0.000 0.000 6.069" Properties=species:S:1:pos:R:3 pbc="T T T"
K 0.000 3.035 0.000
K 0.000 0.000 3.035
K 3.035 0.000 0.000
Br 0.000 0.000 0.000
Ge 3.035 3.035 3.035
```

=====

Crystalline TaCu6O8 at its relaxed geometry, computed with PBEsol.

Computed properties:
Space-group type: No. 225
Formation energy from raw total energies: -1.00 eV per atom
Raw total energy: -95.49 eV/cell

Geometry as extended XYZ:
```
15
Lattice="6.440 0.000 0.000 3.220 5.578 0.000 3.220 1.859 5.259" Properties=species:S:1:pos:R:3 pbc="T T T"
Cu 3.220 3.718 2.629
Cu 4.830 0.930 2.629
Cu 3.220 0.000 0.000
Cu 1.610 2.789 0.000
Cu 1.610 0.930 2.629
Cu 4.830 2.789 0.000
Ta 0.000 0.000 0.000
O 8.182 6.431 4.548
O 4.699 1.006 0.711
O 1.742 1.006 0.711
O 9.661 3.870 4.548
O 3.220 1.859 3.125
O 11.139 6.431 4.548
O 9.661 5.578 2.133
O 3.220 3.566 0.711
```

=====

Crystalline CaSnSbI2 at its relaxed geometry, computed with PBEsol.

Computed properties:
Space-group type: No. 123
Formation energy from raw total energies: -0.17 eV per atom
Raw total energy: -15.35 eV/cell

Geometry as extended XYZ:
```
5
Lattice="-5.213 2.400 -0.504 -1.500 -4.071 -3.871 -1.969 -3.371 4.308" Properties=species:S:1:pos:R:3 pbc="T T T"
I -0.984 -1.686 2.154
I -0.750 -2.035 -1.935
Ca -4.341 -2.521 -0.033
Sb -2.607 1.200 -0.252
Sn 0.000 0.000 0.000
```

=====

Crystalline MgGa3B at its relaxed geometry, computed with PBEsol.

Computed properties:
Space-group type: No. 221
ΔH_f (0 K): 7.31 eV per formula unit
Raw total energy: -11.44 eV/cell

Geometry as extended XYZ:
```
5
Lattice="-1.287 3.566 3.173 -4.768 -0.797 -1.037 -0.237 -3.330 3.647" Properties=species:S:1:pos:R:3 pbc="T T T"
Ga -2.384 -0.399 -0.519
Ga -0.643 1.783 1.586
Ga -0.118 -1.665 1.823
B -3.146 -0.280 2.891
Mg 0.000 0.000 0.000
```

=====

Crystalline TlSnAsBr2 at its relaxed geometry, computed with PBEsol.

Computed properties:
Space-group type: No. 123
Formation energy from raw total energies: 0.54 eV per atom
Raw total energy: -13.01 eV/cell
Offset from the most stable computed form: 249 meV/atom

Geometry as extended XYZ:
```
5
Lattice="-3.571 -2.847 -2.840 3.828 -1.242 -3.568 1.362 -4.852 3.151" Properties=species:S:1:pos:R:3 pbc="T T T"
Br -1.785 -1.423 -1.420
Br 1.914 -0.621 -1.784
Sn 0.681 -2.426 1.575
As 0.810 -4.470 -1.628
Tl 0.000 0.000 0.000
```

=====

Crystalline SrCa7 at its relaxed geometry, computed with PBEsol.

Computed properties:
Space-group type: No. 225
ΔH_f (0 K): 0.08 eV per formula unit
Raw total energy: -16.70 eV/cell

Geometry as extended XYZ:
```
8
Lattice="-2.001 1.233 7.425 4.155 -3.230 5.741 4.478 4.460 4.551" Properties=species:S:1:pos:R:3 pbc="T T T"
Ca 1.077 -0.999 6.583
Ca 3.316 1.231 8.858
Ca 1.238 2.846 5.988
Ca 4.317 0.615 5.146
Ca 2.239 2.230 2.275
Ca -1.001 0.616 3.712
Ca 2.078 -1.615 2.870
Sr 0.000 0.000 0.000
```

=====

Crystalline InTeRh2I at its relaxed geometry, computed with PBEsol.

Computed properties:
Space-group type: No. 123
Formation energy from raw total energies: 0.75 eV per atom
Raw total energy: -20.79 eV/cell

Geometry as extended XYZ:
```
5
Lattice="-4.460 1.544 1.169 0.700 -1.451 4.588 2.132 5.168 1.309" Properties=species:S:1:pos:R:3 pbc="T T T"
Rh 0.350 -0.726 2.294
Rh -2.230 0.772 0.585
I -0.814 2.630 3.533
Te 0.000 0.000 0.000
In 1.066 2.584 0.655
```

=====

Crystalline Na2CaMo at its relaxed geometry, computed with PBEsol.

Computed properties:
Space-group type: No. 122
ΔH_f (0 K): 5.03 eV per formula unit
Raw total energy: -23.34 eV/cell

Geometry as extended XYZ:
```
8
Lattice="6.209 0.000 0.000 3.105 6.155 0.000 3.105 0.000 6.155" Properties=species:S:1:pos:R:3 pbc="T T T"
Na 6.985 2.924 0.154
Na 8.538 6.001 2.924
Na 2.328 0.154 3.231
Na 6.985 3.231 6.001
Ca 4.657 3.077 3.077
Ca 3.105 0.000 0.000
Mo 7.761 3.077 3.077
Mo 0.000 0.000 0.000
```

=====

Crystalline Te2MoBr at its relaxed geometry, computed with PBEsol.

Computed properties:
Space-group type: No. 216
Formation energy from raw total energies: 0.68 eV per atom
Raw total energy: -17.96 eV/cell
Offset from the most stable computed form: 700 meV/atom

Geometry as extended XYZ:
```
4
Lattice="-4.463 -1.931 -0.843 -0.431 -4.184 -2.582 -1.352 -4.170 2.266" Properties=species:S:1:pos:R:3 pbc="T T T"
Mo -1.562 -2.571 -0.290
Te -4.685 -7.714 -0.869
Te 0.000 0.000 0.000
Br -3.124 -5.142 -0.579
```

=====

Crystalline BaSr5 at its relaxed geometry, computed with PBEsol.

Computed properties:
Space-group type: No. 216
ΔH_f (0 K): 0.41 eV per formula unit
Raw total energy: -10.94 eV/cell
Offset from the most stable computed form: 63 meV/atom

Geometry as extended XYZ:
```
6
Lattice="7.793 0.000 0.000 3.896 6.749 0.000 3.896 2.250 6.363" Properties=species:S:1:pos:R:3 pbc="T T T"
Sr 7.793 2.253 3.975
Sr 7.793 4.499 0.799
Sr 9.738 5.622 3.975
Sr 5.848 5.622 3.975
Sr 3.896 2.250 1.591
Ba 0.000 0.000 0.000
```

=====

Crystalline K3NaS at its relaxed geometry, computed with PBEsol.

Computed properties:
Space-group type: No. 221
Formation energy from raw total energies: -0.56 eV per atom
Raw total energy: -11.96 eV/cell

Geometry as extended XYZ:
```
5
Lattice="-1.143 -5.665 2.024 4.368 -2.198 -3.686 4.136 0.756 4.451" Properties=species:S:1:pos:R:3 pbc="T T T"
K 2.068 0.378 2.226
K -0.571 -2.832 1.012
K 2.184 -1.099 -1.843
S 0.000 0.000 0.000
Na 3.681 -3.554 1.395
```

=====

Q: What is the raw total energy in the sixth record?
A: -13.01 eV/cell

=====

Q: What is the formula in the seventh record?
A: SrCa7

=====

Q: The lowest raw total energy belongs to which entry?
A: TaCu6O8

=====

Q: raw total energy of number 7 (SrCa7)?
A: -16.70 eV/cell